{"formula": "YCoPb3", "functional": "PBE-GGA", "state": "relaxed", "space_group": "Pm-3m (221)", "m_tot_mub_per_fu": 0.62, "final_energy_ev_per_cell": -23.84, "e_form_ev_per_atom": 0.171, "lattice_angstrom": [[5.131, 0.000, 0.000], [0.000, 5.131, 0.000], [0.000, 0.000, 5.131]], "species": ["Pb", "Pb", "Pb", "Y", "Co"], "frac_coords": [[0.000, 0.500, 0.000], [0.000, 0.000, 0.500], [0.500, 0.000, 0.000], [0.500, 0.500, 0.500], [0.000, 0.000, 0.000]]}



{"formula": "YZnCoPb2", "functional": "PBE-GGA", "state": "relaxed", "space_group": "P4/mmm (123)", "m_tot_mub_per_fu": 0.00, "final_energy_ev_per_cell": -20.01, "e_form_ev_per_atom": 0.450, "lattice_angstrom": [[-0.210, 0.870, 5.193], [3.415, -2.914, 0.626], [3.459, 3.942, -0.520]], "species": ["Pb", "Pb", "Y", "Zn", "Co"], "frac_coords": [[0.000, 0.000, 0.500], [0.500, 0.000, 0.000], [0.500, 0.500, 0.500], [0.000, 0.000, 0.000], [0.000, 0.500, 0.000]]}



{"formula": "Y2ZnCoPb", "functional": "PBE-GGA", "state": "relaxed", "space_group": "P4/mmm (123)", "m_tot_mub_per_fu": 0.00, "final_energy_ev_per_cell": -25.91, "e_form_ev_per_atom": -0.178, "lattice_angstrom": [[-1.792, 4.289, 2.100], [-3.340, -2.728, 2.723], [3.130, -0.384, 3.455]], "species": ["Pb", "Y", "Y", "Zn", "Co"], "frac_coords": [[0.500, 0.500, 0.500], [0.000, 0.500, 0.000], [0.500, 0.000, 0.000], [0.000, 0.000, 0.500], [0.000, 0.000, 0.000]]}



{"formula": "Y2ZrCoPb", "functional": "PBE-GGA", "state": "relaxed", "space_group": "P4/mmm (123)", "m_tot_mub_per_fu": 0.00, "final_energy_ev_per_cell": -33.09, "e_form_ev_per_atom": -0.160, "lattice_angstrom": [[5.215, 0.000, 0.000], [0.000, 5.215, 0.000], [0.000, 0.000, 4.807]], "species": ["Pb", "Y", "Y", "Co", "Zr"], "frac_coords": [[0.500, 0.500, 0.500], [0.000, 0.500, 0.000], [0.500, 0.000, 0.000], [0.000, 0.000, 0.000], [0.000, 0.000, 0.500]]}



{"formula": "ZnCoPb3", "functional": "PBE-GGA", "state": "relaxed", "space_group": "Pm-3m (221)", "m_tot_mub_per_fu": 1.87, "final_energy_ev_per_cell": -14.77, "e_form_ev_per_atom": 0.948, "lattice_angstrom": [[-3.351, 4.128, 0.100], [-3.432, -2.713, -3.024], [-2.296, -1.970, 4.373]], "species": ["Pb", "Pb", "Pb", "Zn", "Co"], "frac_coords": [[0.000, 0.500, 0.000], [0.000, 0.000, 0.500], [0.500, 0.000, 0.000], [0.000, 0.000, 0.000], [0.500, 0.500, 0.500]]}



{"formula": "Zn4CoPb", "functional": "PBE-GGA", "state": "relaxed", "space_group": "F-43m (216)", "m_tot_mub_per_fu": 0.64, "final_energy_ev_per_cell": -14.41, "e_form_ev_per_atom": 0.251, "lattice_angstrom": [[3.999, -3.267, -0.361], [3.202, -0.626, 4.019], [-0.032, -4.435, 2.669]], "species": ["Zn", "Zn", "Zn", "Zn", "Co", "Pb"], "frac_coords": [[0.870, 0.377, 0.377], [0.377, 0.377, 0.870], [0.377, 0.870, 0.377], [0.377, 0.377, 0.377], [0.750, 0.750, 0.750], [0.000, 0.000, 0.000]]}



{"formula": "Zn2CoPb", "functional": "PBE-GGA", "state": "relaxed", "space_group": "P4/mmm (123)", "m_tot_mub_per_fu": 0.00, "final_energy_ev_per_cell": -12.60, "e_form_ev_per_atom": 0.190, "lattice_angstrom": [[3.052, -0.005, 0.000], [0.003, 3.052, 0.000], [0.000, 0.000, 7.666]], "species": ["Co", "Pb", "Zn", "Zn"], "frac_coords": [[0.500, 0.500, 0.250], [0.500, 0.500, 0.750], [0.000, 0.000, 0.079], [0.000, 0.000, 0.421]]}



{"formula": "ZnCo2Pb", "functional": "PBE-GGA", "state": "relaxed", "space_group": "Cm (8)", "m_tot_mub_per_fu": 2.30, "final_energy_ev_per_cell": -17.63, "e_form_ev_per_atom": 0.390, "lattice_angstrom": [[-4.183, -1.578, 2.195], [-2.024, -1.089, 4.418], [-2.217, 3.491, 1.384]], "species": ["Co", "Co", "Pb", "Zn"], "frac_coords": [[0.016, 0.016, 0.027], [0.731, 0.731, 0.738], [0.487, 0.487, 0.542], [0.265, 0.265, 0.194]]}



{"formula": "Zn2CoPb", "functional": "PBE-GGA", "state": "relaxed", "space_group": "Pm (6)", "m_tot_mub_per_fu": 0.62, "final_energy_ev_per_cell": -12.39, "e_form_ev_per_atom": 0.243, "lattice_angstrom": [[-1.940, -0.907, 3.320], [-1.403, -2.550, -1.517], [4.066, -3.358, 1.458]], "species": ["Co", "Pb", "Zn", "Zn"], "frac_coords": [[0.000, 0.365, 0.478], [0.500, 0.858, 0.691], [0.000, 0.890, 0.133], [0.500, 0.387, 0.198]]}



{"formula": "ZnCoPb2", "functional": "PBE-GGA", "state": "relaxed", "space_group": "I-4m2 (119)", "m_tot_mub_per_fu": 1.53, "final_energy_ev_per_cell": -13.71, "e_form_ev_per_atom": 0.521, "lattice_angstrom": [[-5.701, 1.146, -0.907], [-4.161, -3.714, 1.877], [4.812, 2.698, 2.049]], "species": ["Co", "Pb", "Pb", "Zn"], "frac_coords": [[0.750, 0.250, 0.500], [0.000, 0.000, 0.000], [0.250, 0.750, 0.500], [0.500, 0.500, 0.000]]}



{"formula": "ZnCo2Pb", "functional": "PBE-GGA", "state": "relaxed", "space_group": "C2/m (12)", "m_tot_mub_per_fu": 2.09, "final_energy_ev_per_cell": -17.02, "e_form_ev_per_atom": 0.544, "lattice_angstrom": [[-4.779, 1.317, -1.288], [3.132, -1.540, -3.604], [-0.912, -2.772, -0.634]], "species": ["Co", "Co", "Pb", "Zn"], "frac_coords": [[0.000, 0.000, 0.000], [0.500, 0.000, 0.500], [0.000, 0.500, 0.500], [0.500, 0.500, 0.000]]}



{"formula": "ZnCoPb2", "functional": "PBE-GGA", "state": "relaxed", "space_group": "I-42d (122)", "m_tot_mub_per_fu": 0.00, "final_energy_ev_per_cell": -29.16, "e_form_ev_per_atom": 0.304, "lattice_angstrom": [[-0.704, 2.341, 8.830], [-1.844, -8.710, 2.163], [1.065, -3.606, 5.794]], "species": ["Pb", "Pb", "Pb", "Pb", "Zn", "Zn", "Co", "Co"], "frac_coords": [[0.479, 0.125, 0.250], [0.271, 0.625, 0.250], [0.375, 0.521, 0.750], [0.875, 0.729, 0.750], [0.000, 0.000, 0.000], [0.750, 0.250, 0.500], [0.500, 0.500, 0.000], [0.250, 0.750, 0.500]]}



{"formula": "ZnCo3Pb", "functional": "PBE-GGA", "state": "relaxed", "space_group": "Pm-3m (221)", "m_tot_mub_per_fu": 4.97, "final_energy_ev_per_cell": -18.08, "e_form_ev_per_atom": 1.643, "lattice_angstrom": [[4.829, 0.000, 0.000], [0.000, 4.829, 0.000], [0.000, 0.000, 4.829]], "species": ["Pb", "Zn", "Co", "Co", "Co"], "frac_coords": [[0.000, 0.000, 0.000], [0.500, 0.500, 0.500], [0.000, 0.500, 0.000], [0.000, 0.000, 0.500], [0.500, 0.000, 0.000]]}



{"formula": "Zn2CoPb", "functional": "PBE-GGA", "state": "relaxed", "space_group": "I-42d (122)", "m_tot_mub_per_fu": 0.79, "final_energy_ev_per_cell": -23.58, "e_form_ev_per_atom": 0.393, "lattice_angstrom": [[3.993, 0.000, 0.000], [0.000, 3.993, 0.000], [1.997, 1.997, 9.247]], "species": ["Pb", "Pb", "Zn", "Zn", "Zn", "Zn", "Co", "Co"], "frac_coords": [[0.000, 0.000, 0.000], [0.750, 0.250, 0.500], [0.557, 0.125, 0.250], [0.193, 0.625, 0.250], [0.375, 0.443, 0.750], [0.875, 0.807, 0.750], [0.500, 0.500, 0.000], [0.250, 0.750, 0.500]]}



{"formula": "ZnCo2Pb", "functional": "PBE-GGA", "state": "relaxed", "space_group": "Imm2 (44)", "m_tot_mub_per_fu": 2.47, "final_energy_ev_per_cell": -17.59, "e_form_ev_per_atom": 0.402, "lattice_angstrom": [[-0.299, 5.187, -0.308], [-1.452, 2.655, 4.234], [3.483, -3.394, -1.853]], "species": ["Co", "Co", "Pb", "Zn"], "frac_coords": [[0.988, 0.988, 0.000], [0.769, 0.269, 0.500], [0.509, 0.509, 0.000], [0.234, 0.734, 0.500]]}



{"formula": "ZnCo2Pb", "functional": "PBE-GGA", "state": "relaxed", "space_group": "C2/m (12)", "m_tot_mub_per_fu": 2.17, "final_energy_ev_per_cell": -17.57, "e_form_ev_per_atom": 0.405, "lattice_angstrom": [[-4.046, 1.737, 0.117], [-4.131, -1.360, -0.695], [-1.656, -1.150, 4.559]], "species": ["Co", "Co", "Pb", "Zn"], "frac_coords": [[0.992, 0.992, 0.065], [0.508, 0.508, 0.435], [0.750, 0.750, 0.750], [0.250, 0.250, 0.250]]}



{"formula": "Zn2CoPb", "functional": "PBE-GGA", "state": "relaxed", "space_group": "P4mm (99)", "m_tot_mub_per_fu": 0.86, "final_energy_ev_per_cell": -12.46, "e_form_ev_per_atom": 0.224, "lattice_angstrom": [[-2.582, -0.694, 1.880], [1.988, -0.504, 2.544], [-0.501, 6.323, 1.645]], "species": ["Co", "Pb", "Zn", "Zn"], "frac_coords": [[0.000, 0.000, 0.441], [0.500, 0.500, 0.721], [0.000, 0.000, 0.060], [0.500, 0.500, 0.279]]}



{"formula": "ZnCo3Pb", "functional": "PBE-GGA", "state": "relaxed", "space_group": "Pm-3m (221)", "m_tot_mub_per_fu": 4.44, "final_energy_ev_per_cell": -21.44, "e_form_ev_per_atom": 0.972, "lattice_angstrom": [[4.421, 0.000, 0.000], [0.000, 4.421, 0.000], [0.000, 0.000, 4.421]], "species": ["Pb", "Zn", "Co", "Co", "Co"], "frac_coords": [[0.500, 0.500, 0.500], [0.000, 0.000, 0.000], [0.000, 0.500, 0.000], [0.000, 0.000, 0.500], [0.500, 0.000, 0.000]]}



{"formula": "Zn2CoPb", "functional": "PBE-GGA", "state": "relaxed", "space_group": "C2/m (12)", "m_tot_mub_per_fu": 0.94, "final_energy_ev_per_cell": -11.56, "e_form_ev_per_atom": 0.450, "lattice_angstrom": [[5.257, -0.004, 0.003], [-2.651, 4.540, 0.003], [0.561, 0.976, 2.967]], "species": ["Co", "Pb", "Zn", "Zn"], "frac_coords": [[0.500, 0.000, 0.500], [0.000, 0.500, 0.500], [0.000, 0.000, 0.000], [0.500, 0.500, 0.000]]}



{"formula": "Zn2CoPb", "functional": "PBE-GGA", "state": "relaxed", "space_group": "Cm (8)", "m_tot_mub_per_fu": 0.99, "final_energy_ev_per_cell": -12.22, "e_form_ev_per_atom": 0.287, "lattice_angstrom": [[-0.331, 3.901, 2.375], [-1.345, 1.180, 4.216], [4.320, 0.218, 2.704]], "species": ["Co", "Pb", "Zn", "Zn"], "frac_coords": [[0.486, 0.486, 0.573], [0.238, 0.238, 0.278], [0.018, 0.018, 0.911], [0.758, 0.758, 0.738]]}



{"formula": "ZnCo2Pb", "functional": "PBE-GGA", "state": "relaxed", "space_group": "R3m (160)", "m_tot_mub_per_fu": 3.46, "final_energy_ev_per_cell": -17.28, "e_form_ev_per_atom": 0.479, "lattice_angstrom": [[8.683, 0.089, 0.053], [8.112, 3.099, 0.053], [8.112, 1.539, 2.690]], "species": ["Co", "Co", "Pb", "Zn"], "frac_coords": [[0.994, 0.994, 0.994], [0.266, 0.266, 0.266], [0.507, 0.507, 0.507], [0.733, 0.733, 0.733]]}



{"formula": "ZnCoPb2", "functional": "PBE-GGA", "state": "relaxed", "space_group": "P2/m (10)", "m_tot_mub_per_fu": 0.78, "final_energy_ev_per_cell": -14.34, "e_form_ev_per_atom": 0.363, "lattice_angstrom": [[3.314, 0.000, 0.000], [0.000, 3.236, -0.112], [0.000, 2.000, 8.178]], "species": ["Co", "Pb", "Pb", "Zn"], "frac_coords": [[0.500, 0.750, 0.750], [0.000, 0.128, 0.954], [0.000, 0.372, 0.546], [0.500, 0.250, 0.250]]}



{"formula": "ZnCoPb2", "functional": "PBE-GGA", "state": "relaxed", "space_group": "C2/m (12)", "m_tot_mub_per_fu": 1.30, "final_energy_ev_per_cell": -13.90, "e_form_ev_per_atom": 0.473, "lattice_angstrom": [[7.704, 0.057, 0.128], [-3.173, 3.825, -0.065], [1.357, 1.288, 2.874]], "species": ["Co", "Pb", "Pb", "Zn"], "frac_coords": [[0.500, 0.500, 0.000], [0.000, 0.000, 0.000], [0.500, 0.000, 0.500], [0.000, 0.500, 0.500]]}



{"formula": "ZnCoPb2", "functional": "PBE-GGA", "state": "relaxed", "space_group": "Cm (8)", "m_tot_mub_per_fu": 0.34, "final_energy_ev_per_cell": -14.66, "e_form_ev_per_atom": 0.284, "lattice_angstrom": [[-3.144, -3.389, -1.877], [-0.175, -4.537, -2.068], [-1.501, -4.596, 4.286]], "species": ["Co", "Pb", "Pb", "Zn"], "frac_coords": [[0.209, 0.209, 0.138], [0.932, 0.932, 0.146], [0.773, 0.773, 0.754], [0.587, 0.587, 0.463]]}



{"formula": "Zn2CoPb", "functional": "PBE-GGA", "state": "relaxed", "space_group": "P4/mmm (123)", "m_tot_mub_per_fu": 0.74, "final_energy_ev_per_cell": -11.90, "e_form_ev_per_atom": 0.366, "lattice_angstrom": [[4.255, 0.000, 0.000], [0.000, 3.956, 0.000], [0.000, 0.000, 3.956]], "species": ["Co", "Pb", "Zn", "Zn"], "frac_coords": [[0.500, 0.500, 0.000], [0.500, 0.000, 0.500], [0.000, 0.000, 0.000], [0.000, 0.500, 0.500]]}



{"formula": "Zn2CoPb", "functional": "PBE-GGA", "state": "relaxed", "space_group": "I4/mmm (139)", "m_tot_mub_per_fu": 0.60, "final_energy_ev_per_cell": -12.11, "e_form_ev_per_atom": 0.314, "lattice_angstrom": [[5.143, 0.024, 0.000], [2.158, 4.669, 0.000], [-3.651, -2.347, 2.761]], "species": ["Co", "Pb", "Zn", "Zn"], "frac_coords": [[0.250, 0.750, 0.500], [0.750, 0.250, 0.500], [0.000, 0.000, 0.000], [0.500, 0.500, 0.000]]}



{"formula": "Zn2CoPb2", "functional": "PBE-GGA", "state": "relaxed", "space_group": "P4/mbm (127)", "m_tot_mub_per_fu": 1.19, "final_energy_ev_per_cell": -30.24, "e_form_ev_per_atom": 0.390, "lattice_angstrom": [[6.692, 0.000, 0.000], [0.000, 6.692, 0.000], [0.000, 0.000, 4.669]], "species": ["Pb", "Pb", "Pb", "Pb", "Zn", "Zn", "Zn", "Zn", "Co", "Co"], "frac_coords": [[0.180, 0.680, 0.500], [0.680, 0.820, 0.500], [0.820, 0.320, 0.500], [0.320, 0.180, 0.500], [0.356, 0.856, 0.000], [0.856, 0.644, 0.000], [0.644, 0.144, 0.000], [0.144, 0.356, 0.000], [0.000, 0.000, 0.000], [0.500, 0.500, 0.000]]}



{"formula": "ZnCo2Pb", "functional": "PBE-GGA", "state": "relaxed", "space_group": "Pm (6)", "m_tot_mub_per_fu": 2.61, "final_energy_ev_per_cell": -17.79, "e_form_ev_per_atom": 0.352, "lattice_angstrom": [[-1.391, 3.763, 0.398], [-0.595, -0.544, 3.067], [4.334, 1.317, 2.701]], "species": ["Co", "Co", "Pb", "Zn"], "frac_coords": [[0.000, 0.193, 0.989], [0.500, 0.077, 0.222], [0.000, 0.459, 0.457], [0.500, 0.771, 0.832]]}



{"formula": "ZnCo2Pb", "functional": "PBE-GGA", "state": "relaxed", "space_group": "P4mm (99)", "m_tot_mub_per_fu": 3.00, "final_energy_ev_per_cell": -18.04, "e_form_ev_per_atom": 0.289, "lattice_angstrom": [[-1.469, -2.162, 1.560], [1.939, 0.356, 2.319], [-4.371, 5.048, 2.879]], "species": ["Co", "Co", "Pb", "Zn"], "frac_coords": [[0.000, 0.000, 0.027], [0.500, 0.500, 0.183], [0.000, 0.000, 0.457], [0.500, 0.500, 0.833]]}